[1]
# KCoTe2, optimized geometry, DFT GGA-PBE
# Uncorrected formation energy (eV/atom): 0.31
data_KCoTe2
_chemical_formula_sum 'K1 Co1 Te2'
_cell_length_a 4.981
_cell_length_b 4.981
_cell_length_c 4.260
_cell_angle_alpha 90.00
_cell_angle_beta 90.00
_cell_angle_gamma 90.00
_symmetry_space_group_name_H-M 'P 4/m m m'
_symmetry_Int_Tables_number 123
_symmetry_space_group_name_Hall '-P 4 2'
loop_
_atom_site_label
_atom_site_type_symbol
_atom_site_fract_x
_atom_site_fract_y
_atom_site_fract_z
_atom_site_occupancy
K1 K 0.000 0.000 0.000 1
Co1 Co 0.500 0.500 0.000 1
Te1 Te 0.000 0.500 0.500 1

***

[2]
# NaCO3, optimized geometry, DFT GGA-PBE
# Uncorrected formation energy (eV/atom): 2.14
data_NaCO3
_chemical_formula_sum 'Na1 C1 O3'
_cell_length_a 4.050
_cell_length_b 4.050
_cell_length_c 4.050
_cell_angle_alpha 90.00
_cell_angle_beta 90.00
_cell_angle_gamma 90.00
_symmetry_space_group_name_H-M 'P m -3 m'
_symmetry_Int_Tables_number 221
_symmetry_space_group_name_Hall '-P 4 2 3'
loop_
_atom_site_label
_atom_site_type_symbol
_atom_site_fract_x
_atom_site_fract_y
_atom_site_fract_z
_atom_site_occupancy
Na1 Na 0.000 0.000 0.000 1
C1 C 0.500 0.500 0.500 1
O1 O 0.000 0.000 0.500 1

***

[3]
# Cs3Er3SbSe8, optimized geometry, DFT GGA-PBE
# Uncorrected formation energy (eV/atom): -1.42
data_Cs3Er3SbSe8
_chemical_formula_sum 'Cs9 Er9 Sb3 Se24'
_cell_length_a 8.3292
_cell_length_b 8.3292
_cell_length_c 25.6310
_cell_angle_alpha 90.00
_cell_angle_beta 90.00
_cell_angle_gamma 120.00
_symmetry_space_group_name_H-M 'R -3 m'
_symmetry_Int_Tables_number 166
_symmetry_space_group_name_Hall '-R 3 2"'
loop_
_atom_site_label
_atom_site_type_symbol
_atom_site_fract_x
_atom_site_fract_y
_atom_site_fract_z
_atom_site_occupancy
Cs1 Cs 0.0000 0.5000 0.0000 1
Er1 Er 0.0000 0.5000 0.5000 1
Sb1 Sb 0.0000 0.0000 0.5000 1
Se1 Se 0.0000 0.0000 0.2276 1
Se2 Se 0.0042 0.5021 0.2270 1

***

[4]
# LiH5Ir, optimized geometry, DFT GGA-PBE
# Energy above the most stable polymorph in this dataset (meV per atom): 0
data_LiH5Ir
_chemical_formula_sum 'Li4 H20 Ir4'
_cell_length_a 7.221
_cell_length_b 5.292
_cell_length_c 5.719
_cell_angle_alpha 90.00
_cell_angle_beta 90.33
_cell_angle_gamma 90.00
_symmetry_space_group_name_H-M 'C 1 2/c 1'
_symmetry_Int_Tables_number 15
loop_
_symmetry_equiv_pos_as_xyz
'x,y,z'
'-x,-y,-z'
'-x,y,-z+1/2'
'x,-y,z+1/2'
'x+1/2,y+1/2,z'
'-x+1/2,-y+1/2,-z'
'-x+1/2,y+1/2,-z+1/2'
'x+1/2,-y+1/2,z+1/2'
loop_
_atom_site_label
_atom_site_type_symbol
_atom_site_fract_x
_atom_site_fract_y
_atom_site_fract_z
_atom_site_occupancy
Li1 Li 0.000 0.000 0.000 1
H1 H 0.000 0.207 0.250 1
H2 H 0.131 0.227 0.751 1
H3 H 0.149 0.500 0.001 1
Ir1 Ir 0.000 0.477 0.750 1

***

[5]
# AsPb2Br, optimized geometry, DFT GGA-PBE
# Energy above the most stable polymorph in this dataset (meV per atom): 63
# Uncorrected formation energy (eV/atom): -0.33
data_AsPb2Br
_chemical_formula_sum 'As4 Pb8 Br4'
_cell_length_a 6.259
_cell_length_b 6.258
_cell_length_c 14.468
_cell_angle_alpha 90.00
_cell_angle_beta 115.62
_cell_angle_gamma 90.00
_symmetry_space_group_name_H-M 'P 1 2/c 1'
_symmetry_Int_Tables_number 13
loop_
_symmetry_equiv_pos_as_xyz
'x,y,z'
'-x,-y,-z'
'-x,y,-z+1/2'
'x,-y,z+1/2'
loop_
_atom_site_label
_atom_site_type_symbol
_atom_site_fract_x
_atom_site_fract_y
_atom_site_fract_z
_atom_site_occupancy
As1 As 0.125 0.249 0.125 1
Pb1 Pb 0.094 0.250 0.594 1
Pb2 Pb 0.345 0.249 0.344 1
Br1 Br 0.376 0.251 0.875 1

***

[6]
# CeGaSnHg, optimized geometry, DFT GGA-PBE
# Formation energy from the elements (meV per atom): -437
# Energy above the most stable polymorph in this dataset (meV per atom): 0
data_CeGaSnHg
_chemical_formula_sum 'Ce1 Ga1 Sn1 Hg1'
_cell_length_a 4.442
_cell_length_b 4.639
_cell_length_c 4.681
_cell_angle_alpha 90.00
_cell_angle_beta 90.00
_cell_angle_gamma 90.00
_symmetry_space_group_name_H-M 'P m m m'
_symmetry_Int_Tables_number 47
loop_
_symmetry_equiv_pos_as_xyz
'x,y,z'
'-x,-y,-z'
'-x,-y,z'
'x,y,-z'
'x,-y,-z'
'-x,y,z'
'-x,y,-z'
'x,-y,z'
loop_
_atom_site_label
_atom_site_type_symbol
_atom_site_fract_x
_atom_site_fract_y
_atom_site_fract_z
_atom_site_occupancy
Ce1 Ce 0.000 0.000 0.000 1
Ga1 Ga 0.500 0.500 0.000 1
Sn1 Sn 0.500 0.000 0.500 1
Hg1 Hg 0.000 0.500 0.500 1

***

[7]
# Rb6HgAu2O, optimized geometry, DFT GGA-PBE
# Uncorrected formation energy (eV/atom): -0.42
data_Rb6HgAu2O
_chemical_formula_sum 'Rb12 Hg2 Au4 O2'
_cell_length_a 8.392
_cell_length_b 9.011
_cell_length_c 13.340
_cell_angle_alpha 90.00
_cell_angle_beta 120.40
_cell_angle_gamma 90.00
_symmetry_space_group_name_H-M 'P 1 21/c 1'
_symmetry_Int_Tables_number 14
loop_
_symmetry_equiv_pos_as_xyz
'x,y,z'
'-x,-y,-z'
'-x,y+1/2,-z+1/2'
'x,-y+1/2,z+1/2'
loop_
_atom_site_label
_atom_site_type_symbol
_atom_site_fract_x
_atom_site_fract_y
_atom_site_fract_z
_atom_site_occupancy
Rb1 Rb 0.057 0.067 0.215 1
Rb2 Rb 0.216 0.733 0.086 1
Rb3 Rb 0.326 0.148 0.054 1
Hg1 Hg 0.500 0.000 0.500 1
Au1 Au 0.316 0.104 0.769 1
O1 O 0.000 0.000 0.000 1

***

[8]
# SmCoP2, optimized geometry, DFT GGA-PBE
# Formation energy from the elements (meV per atom): -948
data_SmCoP2
_chemical_formula_sum 'Sm2 Co2 P4'
_cell_length_a 3.871
_cell_length_b 3.871
_cell_length_c 9.199
_cell_angle_alpha 90.00
_cell_angle_beta 90.00
_cell_angle_gamma 90.00
_symmetry_space_group_name_H-M 'I -4 m 2'
_symmetry_Int_Tables_number 119
_symmetry_space_group_name_Hall 'I -4 -2'
loop_
_atom_site_label
_atom_site_type_symbol
_atom_site_fract_x
_atom_site_fract_y
_atom_site_fract_z
_atom_site_occupancy
Sm1 Sm 0.000 0.000 0.000 1
Co1 Co 0.000 0.500 0.750 1
P1 P 0.000 0.000 0.367 1

***

[9]
# CePr3N, optimized geometry, DFT GGA-PBE
# Uncorrected formation energy (eV/atom): -0.32
data_CePr3N
_chemical_formula_sum 'Ce1 Pr3 N1'
_cell_length_a 5.183
_cell_length_b 5.183
_cell_length_c 5.183
_cell_angle_alpha 90.00
_cell_angle_beta 90.00
_cell_angle_gamma 90.00
_symmetry_space_group_name_H-M 'P m -3 m'
_symmetry_Int_Tables_number 221
_symmetry_space_group_name_Hall '-P 4 2 3'
loop_
_atom_site_label
_atom_site_type_symbol
_atom_site_fract_x
_atom_site_fract_y
_atom_site_fract_z
_atom_site_occupancy
Ce1 Ce 0.000 0.000 0.000 1
Pr1 Pr 0.000 0.500 0.500 1
N1 N 0.500 0.500 0.500 1

***

[10]
# Na2LaSi, optimized geometry, DFT GGA-PBE
# Uncorrected formation energy (eV/atom): 0.03
data_Na2LaSi
_chemical_formula_sum 'Na8 La4 Si4'
_cell_length_a 4.415
_cell_length_b 4.415
_cell_length_c 24.207
_cell_angle_alpha 90.00
_cell_angle_beta 90.00
_cell_angle_gamma 90.00
_symmetry_space_group_name_H-M 'I -4 2 d'
_symmetry_Int_Tables_number 122
_symmetry_space_group_name_Hall 'I -4 2bw'
loop_
_atom_site_label
_atom_site_type_symbol
_atom_site_fract_x
_atom_site_fract_y
_atom_site_fract_z
_atom_site_occupancy
Na1 Na 0.210 0.250 0.125 1
La1 La 0.000 0.000 0.500 1
Si1 Si 0.000 0.000 0.000 1

***

[11]
# Sm5DyEr5, optimized geometry, DFT GGA-PBE
# Formation energy from the elements (meV per atom): 305
data_Sm5DyEr5
_chemical_formula_sum 'Sm5 Dy1 Er5'
_cell_length_a 6.0596
_cell_length_b 6.0596
_cell_length_c 11.7055
_cell_angle_alpha 90.00
_cell_angle_beta 90.00
_cell_angle_gamma 120.00
_symmetry_space_group_name_H-M 'P -6 m 2'
_symmetry_Int_Tables_number 187
_symmetry_space_group_name_Hall 'P -6 2'
loop_
_atom_site_label
_atom_site_type_symbol
_atom_site_fract_x
_atom_site_fract_y
_atom_site_fract_z
_atom_site_occupancy
Sm1 Sm 0.0000 0.0000 0.0000 1
Sm2 Sm 0.3333 0.6667 0.3162 1
Sm3 Sm 0.6667 0.3333 0.1534 1
Dy1 Dy 0.3333 0.6667 0.0000 1
Er1 Er 0.0000 0.0000 0.2658 1
Er2 Er 0.3337 0.1668 0.5000 1

***

[12]
# Ho4SbRh, optimized geometry, DFT GGA-PBE
# Energy above the most stable polymorph in this dataset (meV per atom): 49
# Uncorrected formation energy (eV/atom): -0.68
data_Ho4SbRh
_chemical_formula_sum 'Ho16 Sb4 Rh4'
_cell_length_a 8.898
_cell_length_b 13.352
_cell_length_c 6.021
_cell_angle_alpha 90.00
_cell_angle_beta 115.08
_cell_angle_gamma 90.00
_symmetry_space_group_name_H-M 'C 1 2/c 1'
_symmetry_Int_Tables_number 15
loop_
_symmetry_equiv_pos_as_xyz
'x,y,z'
'-x,-y,-z'
'-x,y,-z+1/2'
'x,-y,z+1/2'
'x+1/2,y+1/2,z'
'-x+1/2,-y+1/2,-z'
'-x+1/2,y+1/2,-z+1/2'
'x+1/2,-y+1/2,z+1/2'
loop_
_atom_site_label
_atom_site_type_symbol
_atom_site_fract_x
_atom_site_fract_y
_atom_site_fract_z
_atom_site_occupancy
Ho1 Ho 0.114 0.174 0.073 1
Ho2 Ho 0.216 0.428 0.332 1
Sb1 Sb 0.000 0.374 0.750 1
Rh1 Rh 0.000 0.001 0.250 1